First-principles (PBE) data for TaCuAg2S4 after structural relaxation, as listed in Alexandria via LeMat-Bulk.

```
data_TaCuAg2S4
_space_group_name_H-M_alt 'P m n 21'
_space_group_IT_number 31
_cell_length_a 7.687
_cell_length_b 6.938
_cell_length_c 6.664
_cell_angle_alpha 90.00
_cell_angle_beta 90.00
_cell_angle_gamma 90.00
loop_
_space_group_symop_operation_xyz
'x,y,z'
'-x+1/2,-y,z+1/2'
'-x,y,z'
'x+1/2,-y,z+1/2'
loop_
_atom_site_label
_atom_site_fract_x
_atom_site_fract_y
_atom_site_fract_z
Ta1 0.000 0.166 0.000
Cu1 0.000 0.837 0.511
Ag1 0.247 0.319 0.525
S1 0.000 0.134 0.342
S2 0.000 0.865 0.855
S3 0.248 0.673 0.404
```

Properties
- calculated volume (Å³/atom) = 22.21
- final energy (Ry per atom) = -0.3850
- mass density (g/cm3) = 5.50

---

First-principles (PBE) data for TbCuAg2S4 after structural relaxation, as listed in Alexandria via LeMat-Bulk.

```
data_TbCuAg2S4
_space_group_name_H-M_alt 'C m c m'
_space_group_IT_number 63
_space_group_name_Hall '-C 2c 2'
_cell_length_a 3.852
_cell_length_b 13.191
_cell_length_c 12.402
_cell_angle_alpha 90.00
_cell_angle_beta 90.00
_cell_angle_gamma 90.00
loop_
_atom_site_label
_atom_site_fract_x
_atom_site_fract_y
_atom_site_fract_z
Tb1 0.000 0.087 0.250
Cu1 0.000 0.175 0.750
Ag1 0.000 0.373 0.056
S1 0.000 0.000 0.000
S2 0.000 0.309 0.631
S3 0.000 0.429 0.250
```

Properties
- calculated volume (Å³/atom) = 19.69
- final energy (Ry per atom) = -0.3279
- D(E_F) (states/eV/cell) = 14.11
- mass density (g/cm3) = 5.97

---

First-principles (PBE) data for CuAgTeS after structural relaxation, as listed in Alexandria via LeMat-Bulk.

```
data_CuAgTeS
_space_group_name_H-M_alt 'R 3 m'
_space_group_IT_number 160
_space_group_name_Hall 'R 3 -2"'
_cell_length_a 4.0940
_cell_length_b 4.0940
_cell_length_c 20.2077
_cell_angle_alpha 90.00
_cell_angle_beta 90.00
_cell_angle_gamma 120.00
loop_
_atom_site_label
_atom_site_fract_x
_atom_site_fract_y
_atom_site_fract_z
Cu1 0.0000 0.0000 0.0000
Ag1 0.0000 0.0000 0.5209
Te1 0.0000 0.0000 0.3834
S1 0.0000 0.0000 0.8915
```

Properties
- calculated volume (Å³/atom) = 24.44
- final energy (Ry per atom) = -0.2597
- D(E_F) (states/eV/cell) = 10.58
- mass density (g/cm3) = 5.62

---

First-principles (PBE) data for CuAg2TeS4 after structural relaxation, as listed in Alexandria via LeMat-Bulk.

```
data_CuAg2TeS4
_space_group_name_H-M_alt 'I -4'
_space_group_IT_number 82
_cell_length_a 5.807
_cell_length_b 5.807
_cell_length_c 11.174
_cell_angle_alpha 90.00
_cell_angle_beta 90.00
_cell_angle_gamma 90.00
loop_
_space_group_symop_operation_xyz
'x,y,z'
'y,-x,-z'
'-x,-y,z'
'-y,x,-z'
'x+1/2,y+1/2,z+1/2'
'y+1/2,-x+1/2,-z+1/2'
'-x+1/2,-y+1/2,z+1/2'
'-y+1/2,x+1/2,-z+1/2'
loop_
_atom_site_label
_atom_site_fract_x
_atom_site_fract_y
_atom_site_fract_z
Cu1 0.000 0.000 0.000
Ag1 0.000 0.000 0.500
Ag2 0.000 0.500 0.250
Te1 0.000 0.500 0.750
S1 0.230 0.233 0.886
```

Properties
- calculated volume (Å³/atom) = 23.55
- final energy (Ry per atom) = -0.2698
- D(E_F) (states/eV/cell) = 9.40
- mass density (g/cm3) = 4.72

---

First-principles (PBE) data for CuAg4Te3S8 after structural relaxation, as listed in Alexandria via LeMat-Bulk.

```
data_CuAg4Te3S8
_space_group_name_H-M_alt 'C 1 2/m 1'
_space_group_IT_number 12
_cell_length_a 13.337
_cell_length_b 7.896
_cell_length_c 7.604
_cell_angle_alpha 90.00
_cell_angle_beta 122.16
_cell_angle_gamma 90.00
loop_
_space_group_symop_operation_xyz
'x,y,z'
'-x,-y,-z'
'-x,y,-z'
'x,-y,z'
'x+1/2,y+1/2,z'
'-x+1/2,-y+1/2,-z'
'-x+1/2,y+1/2,-z'
'x+1/2,-y+1/2,z'
loop_
_atom_site_label
_atom_site_fract_x
_atom_site_fract_y
_atom_site_fract_z
Cu1 0.000 0.000 0.000
Ag1 0.000 0.000 0.500
Ag2 0.000 0.500 0.500
Ag3 0.250 0.250 0.000
Te1 0.000 0.500 0.000
Te2 0.250 0.250 0.500
S1 0.015 0.205 0.237
S2 0.217 0.500 0.706
S3 0.235 0.500 0.195
```

Properties
- calculated volume (Å³/atom) = 21.18
- final energy (Ry per atom) = -0.2608
- D(E_F) (states/eV/cell) = 14.97
- mass density (g/cm3) = 5.56

---

First-principles (PBE) data for CuAg3Te3S8 after structural relaxation, as listed in Alexandria via LeMat-Bulk.

```
data_CuAg3Te3S8
_space_group_name_H-M_alt 'C 1 2/m 1'
_space_group_IT_number 12
_cell_length_a 13.291
_cell_length_b 7.744
_cell_length_c 7.702
_cell_angle_alpha 90.00
_cell_angle_beta 125.23
_cell_angle_gamma 90.00
loop_
_space_group_symop_operation_xyz
'x,y,z'
'-x,-y,-z'
'-x,y,-z'
'x,-y,z'
'x+1/2,y+1/2,z'
'-x+1/2,-y+1/2,-z'
'-x+1/2,y+1/2,-z'
'x+1/2,-y+1/2,z'
loop_
_atom_site_label
_atom_site_fract_x
_atom_site_fract_y
_atom_site_fract_z
Cu1 0.000 0.000 0.000
Ag1 0.000 0.000 0.500
Ag2 0.250 0.250 0.500
Te1 0.000 0.500 0.000
Te2 0.250 0.250 0.000
S1 0.002 0.241 0.764
S2 0.219 0.000 0.222
S3 0.247 0.000 0.747
```

Properties
- calculated volume (Å³/atom) = 21.58
- final energy (Ry per atom) = -0.2628
- D(E_F) (states/eV/cell) = 12.15
- mass density (g/cm3) = 5.26

---

First-principles (PBE) data for ThCuAg2S4 after structural relaxation, as listed in Alexandria via LeMat-Bulk.

```
data_ThCuAg2S4
_space_group_name_H-M_alt 'C m c m'
_space_group_IT_number 63
_space_group_name_Hall '-C 2c 2'
_cell_length_a 3.996
_cell_length_b 13.156
_cell_length_c 12.506
_cell_angle_alpha 90.00
_cell_angle_beta 90.00
_cell_angle_gamma 90.00
loop_
_atom_site_label
_atom_site_fract_x
_atom_site_fract_y
_atom_site_fract_z
Th1 0.000 0.086 0.250
Cu1 0.000 0.175 0.750
Ag1 0.000 0.381 0.055
S1 0.000 0.000 0.000
S2 0.000 0.310 0.629
S3 0.000 0.425 0.250
```

Properties
- calculated volume (Å³/atom) = 20.55
- final energy (Ry per atom) = -0.3602
- D(E_F) (states/eV/cell) = 13.63
- mass density (g/cm3) = 6.46

---

First-principles (PBE) data for TiCu2AgS4 after structural relaxation, as listed in Alexandria via LeMat-Bulk.

```
data_TiCu2AgS4
_space_group_name_H-M_alt 'I -4 2 m'
_space_group_IT_number 121
_space_group_name_Hall 'I -4 2'
_cell_length_a 5.449
_cell_length_b 5.449
_cell_length_c 10.848
_cell_angle_alpha 90.00
_cell_angle_beta 90.00
_cell_angle_gamma 90.00
loop_
_atom_site_label
_atom_site_fract_x
_atom_site_fract_y
_atom_site_fract_z
Ti1 0.000 0.000 0.000
Cu1 0.000 0.500 0.250
Ag1 0.000 0.000 0.500
S1 0.231 0.231 0.134
```

Properties
- calculated volume (Å³/atom) = 20.13
- final energy (Ry per atom) = -0.3658
- D(E_F) (states/eV/cell) = 16.69
- mass density (g/cm3) = 4.24

---

First-principles (PBE) data for TiCuAg2S4 after structural relaxation, as listed in Alexandria via LeMat-Bulk.

```
data_TiCuAg2S4
_space_group_name_H-M_alt 'I -4 2 m'
_space_group_IT_number 121
_space_group_name_Hall 'I -4 2'
_cell_length_a 5.511
_cell_length_b 5.511
_cell_length_c 11.415
_cell_angle_alpha 90.00
_cell_angle_beta 90.00
_cell_angle_gamma 90.00
loop_
_atom_site_label
_atom_site_fract_x
_atom_site_fract_y
_atom_site_fract_z
Ti1 0.000 0.000 0.000
Cu1 0.000 0.000 0.500
Ag1 0.000 0.500 0.250
S1 0.249 0.249 0.107
```

Properties
- calculated volume (Å³/atom) = 21.67
- final energy (Ry per atom) = -0.3506
- D(E_F) (states/eV/cell) = 11.44
- mass density (g/cm3) = 4.36

---

First-principles (PBE) data for U3CuAg3S8 after structural relaxation, as listed in Alexandria via LeMat-Bulk.

```
data_U3CuAg3S8
_space_group_name_H-M_alt 'C 1 2/m 1'
_space_group_IT_number 12
_cell_length_a 12.923
_cell_length_b 8.113
_cell_length_c 7.669
_cell_angle_alpha 90.00
_cell_angle_beta 124.80
_cell_angle_gamma 90.00
loop_
_space_group_symop_operation_xyz
'x,y,z'
'-x,-y,-z'
'-x,y,-z'
'x,-y,z'
'x+1/2,y+1/2,z'
'-x+1/2,-y+1/2,-z'
'-x+1/2,y+1/2,-z'
'x+1/2,-y+1/2,z'
loop_
_atom_site_label
_atom_site_fract_x
_atom_site_fract_y
_atom_site_fract_z
U1 0.000 0.000 0.000
U2 0.250 0.250 0.500
Cu1 0.000 0.500 0.000
Ag1 0.000 0.500 0.500
Ag2 0.250 0.250 0.000
S1 0.001 0.231 0.248
S2 0.219 0.500 0.233
S3 0.245 0.500 0.735
```

Properties
- calculated volume (Å³/atom) = 22.01
- final energy (Ry per atom) = -0.4455
- D(E_F) (states/eV/cell) = 24.49
- mass density (g/cm3) = 6.83

---

First-principles (PBE) data for UCuAg2S4 after structural relaxation, as listed in Alexandria via LeMat-Bulk.

```
data_UCuAg2S4
_space_group_name_H-M_alt 'I -4'
_space_group_IT_number 82
_cell_length_a 6.572
_cell_length_b 6.572
_cell_length_c 7.501
_cell_angle_alpha 90.00
_cell_angle_beta 90.00
_cell_angle_gamma 90.00
loop_
_space_group_symop_operation_xyz
'x,y,z'
'y,-x,-z'
'-x,-y,z'
'-y,x,-z'
'x+1/2,y+1/2,z+1/2'
'y+1/2,-x+1/2,-z+1/2'
'-x+1/2,-y+1/2,z+1/2'
'-y+1/2,x+1/2,-z+1/2'
loop_
_atom_site_label
_atom_site_fract_x
_atom_site_fract_y
_atom_site_fract_z
U1 0.000 0.000 0.000
Cu1 0.000 0.500 0.750
Ag1 0.000 0.000 0.500
Ag2 0.000 0.500 0.250
S1 0.231 0.260 0.645
```

Properties
- calculated volume (Å³/atom) = 20.25
- final energy (Ry per atom) = -0.3775
- D(E_F) (states/eV/cell) = 11.23
- mass density (g/cm3) = 6.62

---

First-principles (PBE) data for YCuAg2S4 after structural relaxation, as listed in Alexandria via LeMat-Bulk.

```
data_YCuAg2S4
_space_group_name_H-M_alt 'C m c m'
_space_group_IT_number 63
_space_group_name_Hall '-C 2c 2'
_cell_length_a 3.841
_cell_length_b 13.198
_cell_length_c 12.409
_cell_angle_alpha 90.00
_cell_angle_beta 90.00
_cell_angle_gamma 90.00
loop_
_atom_site_label
_atom_site_fract_x
_atom_site_fract_y
_atom_site_fract_z
Y1 0.000 0.088 0.250
Cu1 0.000 0.175 0.750
Ag1 0.000 0.373 0.056
S1 0.000 0.000 0.000
S2 0.000 0.309 0.631
S3 0.000 0.430 0.250
```

Properties
- calculated volume (Å³/atom) = 19.66
- final energy (Ry per atom) = -0.3445
- D(E_F) (states/eV/cell) = 14.16
- mass density (g/cm3) = 5.24

---

> final energy of number 8 (TiCu2AgS4)?

-0.3658 Ry per atom